# 1
The following is a DFT calculation (PBE) of a relaxed Tm4CO4 crystal.

Unit cell a=5.546 b=5.546 c=6.318 alpha=116.03 beta=116.03 gamma=90.00
Fractional positions:
O 0.000 0.500 0.000
O 0.715 0.715 0.430
O 0.285 0.285 0.570
O 0.500 0.000 0.000
Tm 0.337 0.897 0.234
Tm 0.663 0.663 0.766
Tm 0.897 0.337 0.234
Tm 0.103 0.103 0.766
C 0.000 0.000 0.000

Properties
- E_form (uncorrected): -2.274 eV per atom
- Energy: -7.4902 eV per atom
- DOS at the Fermi energy: 0.222 states/eV/atom

=====

# 2
The following is a DFT calculation (PBE) of a relaxed TlHg12Pb3 crystal.

Unit cell a=4.797 b=4.797 c=18.975 alpha=90.00 beta=90.00 gamma=90.00
Fractional positions:
Hg 0.500 0.500 0.748
Hg 0.500 0.000 0.873
Hg 0.000 0.500 0.873
Hg 0.000 0.500 0.624
Hg 0.500 0.000 0.624
Hg 0.500 0.500 0.000
Hg 0.500 0.000 0.376
Hg 0.000 0.500 0.376
Hg 0.500 0.000 0.127
Hg 0.000 0.500 0.127
Hg 0.500 0.500 0.252
Hg 0.500 0.500 0.500
Pb 0.000 0.000 0.744
Pb 0.000 0.000 0.256
Pb 0.000 0.000 0.500
Tl 0.000 0.000 0.000

Properties
- Energy: -1.0448 eV per atom
- DOS at the Fermi energy: 0.385 states/eV/atom

=====

# 3
The following is a DFT calculation (PBE) of a relaxed PmAgAu4 crystal.

Unit cell a=5.182 b=5.225 c=5.246 alpha=60.15 beta=90.07 gamma=90.14
Fractional positions:
Au 0.001 0.177 0.144
Au 0.001 0.826 0.847
Au 0.501 0.336 0.826
Au 0.501 0.667 0.164
Pm 0.501 0.002 0.495
Ag 0.001 0.502 0.495

Properties
- Energy: -3.8411 eV per atom
- DOS at the Fermi energy: 0.346 states/eV/atom

=====

# 4
The following is a DFT calculation (PBE) of a relaxed YTe2O6 crystal.

Unit cell a=7.768 b=7.045 c=7.045 alpha=71.75 beta=67.95 gamma=67.95
Fractional positions:
Y 0.250 0.076 0.924
Y 0.750 0.924 0.076
O 0.102 0.821 0.941
O 0.489 0.381 0.277
O 0.898 0.179 0.059
O 0.270 0.115 0.599
O 0.770 0.599 0.115
O 0.011 0.723 0.619
O 0.989 0.277 0.381
O 0.398 0.059 0.179
O 0.602 0.941 0.821
O 0.730 0.885 0.401
O 0.511 0.619 0.723
O 0.230 0.401 0.885
Te 0.265 0.278 0.333
Te 0.765 0.333 0.278
Te 0.735 0.722 0.667
Te 0.235 0.667 0.722

Properties
- E_form (uncorrected): -1.626 eV per atom
- Energy: -6.3474 eV per atom
- DOS at the Fermi energy: 0.261 states/eV/atom

=====

Question: DOS at the Fermi energy of number 4 (YTe2O6)?
Answer: 0.261 states/eV/atom

=====

Question: Which formula does entry 2 have?
Answer: TlHg12Pb3

=====

Question: Which formula does entry 3 have?
Answer: PmAgAu4

=====

Question: Number 2 is which compound?
Answer: TlHg12Pb3